# 1
TiTcAsBr2: relaxed, GGA-PBEsol.

a = 5.0407 Å, b = 5.0407 Å, c = 4.6782 Å
α = 90.00°, β = 90.00°, γ = 90.00°
Element x y z (fractional)
Ti: 0.0000 0.0000 0.0000
Tc: 0.5000 0.5000 0.5000
As: 0.5000 0.5000 0.0000
Br: 0.0000 0.5000 0.5000
Br: 0.5000 0.0000 0.5000

For the density, the calculation gives 5.3 g/cm³. The calculation puts the energy relative to the elements, uncorrected at 650 meV per atom. As for the space group: P4/mmm (123).


# 2
HoPPd: relaxed, GGA-PBEsol.

a = 6.7736 Å, b = 3.9543 Å, c = 7.6291 Å
α = 90.00°, β = 90.00°, γ = 90.00°
Element x y z (fractional)
Ho: 0.0283 0.2500 0.1865
Ho: 0.4717 0.7500 0.6865
Ho: 0.5283 0.2500 0.3135
Ho: 0.9717 0.7500 0.8135
P: 0.2462 0.7500 0.3773
P: 0.2538 0.2500 0.8773
P: 0.7462 0.7500 0.1227
P: 0.7538 0.2500 0.6227
Pd: 0.1455 0.2500 0.5609
Pd: 0.3545 0.7500 0.0610
Pd: 0.6455 0.2500 0.9390
Pd: 0.8545 0.7500 0.4390

For the density, the calculation gives 9.8 g/cm³. As for the space group: Pnma (62). For the energy of formation, the calculation gives -129 kJ/mol of atoms.


# 3
TiRuS2N: relaxed, GGA-PBEsol.

a = 4.6642 Å, b = 4.6642 Å, c = 3.6721 Å
α = 90.00°, β = 90.00°, γ = 90.00°
Element x y z (fractional)
Ti: 0.0000 0.0000 0.0000
Ru: 0.5000 0.5000 0.5000
S: 0.0000 0.5000 0.0000
S: 0.5000 0.0000 0.0000
N: 0.0000 0.0000 0.5000

For the density, the calculation gives 4.7 g/cm³. The calculation puts the energy relative to the elements, uncorrected at 465 meV per atom. As for the space group: P4/mmm (123).


# 4
ScTl2Mo: relaxed, GGA-PBEsol.

a = 9.7683 Å, b = 9.7683 Å, c = 9.7683 Å
α = 18.50°, β = 18.50°, γ = 18.50°
Element x y z (fractional)
Sc: 0.0000 0.0000 0.0000
Tl: 0.2463 0.2463 0.2463
Tl: 0.7537 0.7537 0.7537
Mo: 0.5000 0.5000 0.5000

For the density, the calculation gives 11.1 g/cm³. As for the space group: R-3m (166). For the energy of formation, the calculation gives 32 kJ/mol of atoms.